# 1
# PaAlPd6 (PBE-GGA, relaxed)
# E above lowest polymorph, meV per atom: 302
# M_tot, μB per formula unit: 0.00
# Space-group type: No. 71
# Energy relative to the elements, meV/atom: -397
# ρ, g/cm³: 9.8
data_PaAlPd6
_chemical_formula_sum 'Pa1 Al1 Pd6'
_symmetry_space_group_name_H-M 'P 1'
_symmetry_Int_Tables_number 1
_cell_length_a 6.343
_cell_length_b 6.343
_cell_length_c 4.596
_cell_angle_alpha 111.26
_cell_angle_beta 111.26
_cell_angle_gamma 98.66
loop_
_symmetry_equiv_pos_as_xyz
'x,y,z'
loop_
_atom_site_label
_atom_site_type_symbol
_atom_site_fract_x
_atom_site_fract_y
_atom_site_fract_z
Pa1 Pa 0.000 0.000 0.000
Al1 Al 0.500 0.500 0.500
Pd1 Pd 0.290 0.290 0.790
Pd2 Pd 0.466 0.081 0.274
Pd3 Pd 0.710 0.710 0.210
Pd4 Pd 0.919 0.534 0.726
Pd5 Pd 0.534 0.919 0.726
Pd6 Pd 0.081 0.466 0.274



# 2
# PaAlPd (PBE-GGA, relaxed)
# M_tot, μB per formula unit: 0.00
# Space-group type: No. 107
# Energy relative to the elements, meV/atom: -531
# ρ, g/cm³: 10.7
data_PaAlPd
_chemical_formula_sum 'Pa1 Al1 Pd1'
_symmetry_space_group_name_H-M 'P 1'
_symmetry_Int_Tables_number 1
_cell_length_a 3.139
_cell_length_b 3.139
_cell_length_c 6.168
_cell_angle_alpha 104.74
_cell_angle_beta 104.74
_cell_angle_gamma 90.00
loop_
_symmetry_equiv_pos_as_xyz
'x,y,z'
loop_
_atom_site_label
_atom_site_type_symbol
_atom_site_fract_x
_atom_site_fract_y
_atom_site_fract_z
Pa1 Pa 0.002 0.002 0.005
Al1 Al 0.309 0.309 0.618
Pd1 Pd 0.689 0.689 0.378